Crystalline CaSb2Mo at its relaxed geometry. Source: Alexandria, functional PBE.

Geometry as extended XYZ:
```
4
Lattice="-5.3006 5.9174 -0.0474 -6.8178 2.2481 -3.4027 4.7943 -5.1028 3.7537" Properties=species:S:1:pos:R:3 pbc="T T T"
Sb -11.2839 7.6032 -3.2125
Sb -3.6929 0.3792 -0.5878
Mo -3.8123 2.8055 0.8398
Ca -6.7125 4.5229 -1.9111
```

* uncorrected formation energy: -153 meV per atom
* total moment: 0.17 μB per atom